DFT (PBE) results for a relaxed structure of PaTl3S4.

## Properties
density = 6.90 g cm⁻³
magnetic moment = 0.0004 μB/atom
E_tot = -0.3712 Ry/atom

a b c (Å): 8.976 12.505 4.170
angles (deg): 90.00 90.00 90.00
Space group Cmmm (No. 65)
One atom of each set of equivalent atoms:
Pa 0.000 0.000 0.000 (multiplicity 2)
Tl 0.000 0.500 0.000 (multiplicity 2)
Tl 0.250 0.250 0.500 (multiplicity 4)
S 0.000 0.204 0.000 (multiplicity 4)
S 0.200 0.000 0.500 (multiplicity 4)